A:
The following is a PBE calculation of a relaxed structure of BeZnCuRh, from Alexandria via LeMat-Bulk.

Summary:
Space group: Pmmm, No. 47
Calculated density (g cm⁻³): 8.30
Total magnetic moment (μB/cell): 0.00

Cell: 3.2745 3.7101 3.9663 Å, 90.00 90.00 90.00°
Element x y z (fractional)
Be: 0.0000 0.0000 0.0000
Zn: 0.0000 0.5000 0.5000
Cu: 0.5000 0.0000 0.5000
Rh: 0.5000 0.5000 0.0000

---

B:
The following is a PBE calculation of a relaxed structure of BeZnCuRh, from Alexandria via LeMat-Bulk.

Summary:
Space group: F-43m, No. 216
Calculated density (g cm⁻³): 8.28
Total magnetic moment (μB/cell): 0.00

Cell: 4.0881 4.0881 4.0881 Å, 60.00 60.00 60.00°
Element x y z (fractional)
Be: 0.0000 0.0000 0.0000
Zn: 0.5000 0.5000 0.5000
Cu: 0.7500 0.7500 0.7500
Rh: 0.2500 0.2500 0.2500

---

Which of them is the most stable? Correct choice: A.

---

A:
The following is a PBE calculation of a relaxed structure of Be2CuRu2, from Alexandria via LeMat-Bulk.

Summary:
Space group: P4/mbm, No. 127
Calculated density (g cm⁻³): 7.89
Total magnetic moment (μB/cell): 0.00

Cell: 6.5239 6.5239 2.8052 Å, 90.00 90.00 90.00°
Element x y z (fractional)
Be: 0.1622 0.3378 0.0000
Be: 0.3378 0.8378 0.0000
Be: 0.6622 0.1622 0.0000
Be: 0.8378 0.6622 0.0000
Cu: 0.0000 0.0000 0.5000
Cu: 0.5000 0.5000 0.5000
Ru: 0.1348 0.6348 0.5000
Ru: 0.3652 0.1348 0.5000
Ru: 0.6348 0.8652 0.5000
Ru: 0.8652 0.3652 0.5000

---

B:
The following is a PBE calculation of a relaxed structure of Be2CuRu2, from Alexandria via LeMat-Bulk.

Summary:
Space group: P4/mbm, No. 127
Calculated density (g cm⁻³): 8.67
Total magnetic moment (μB/cell): 0.00

Cell: 5.8653 5.8653 3.1607 Å, 90.00 90.00 90.00°
Element x y z (fractional)
Be: 0.1257 0.3743 0.0000
Be: 0.3743 0.8743 0.0000
Be: 0.6257 0.1257 0.0000
Be: 0.8743 0.6257 0.0000
Cu: 0.0000 0.0000 0.0000
Cu: 0.5000 0.5000 0.0000
Ru: 0.1726 0.6726 0.5000
Ru: 0.3274 0.1726 0.5000
Ru: 0.6726 0.8274 0.5000
Ru: 0.8274 0.3274 0.5000

---

Which of them is the most stable? Correct choice: B.